1.
Below is crystalline CaInAu4 at its relaxed geometry, with properties calculated at the PBE level.

The space group is Cmmm (No. 65) and the conventional cell measures 5.187, 9.177 and 5.140 Å, with angles of 90.00, 90.00 and 90.00 degrees. The distinct sites, in fractional coordinates, are Ca at (0.000, 0.000, 0.000), In at (0.000, 0.500, 0.500), Au at (0.000, 0.172, 0.500) and Au at (0.000, 0.335, 0.000).

For the volume, the calculation gives 244.66 Å³/cell. The magnetization is 0.00 μB/f.u. The relative energy among the computed polymorphs is 23 meV/atom. For the density, the calculation gives 12.80 g cm⁻³. The energy of formation is -2.5 eV per formula unit.

---

2.
Below is crystalline FePtIN2 at its relaxed geometry, with properties calculated at the PBE level.

The space group is P4/mmm (No. 123) and the conventional cell measures 3.658, 3.658 and 6.205 Å, with angles of 90.00, 90.00 and 90.00 degrees. The distinct sites, in fractional coordinates, are Fe at (0.000, 0.000, 0.000), Pt at (0.500, 0.500, 0.500), I at (0.000, 0.000, 0.500) and N at (0.000, 0.500, 0.000).

For the volume, the calculation gives 83.03 Å³/cell. The magnetization is 0.00 μB/f.u. The relative energy among the computed polymorphs is 0 meV/atom. For the density, the calculation gives 8.12 g cm⁻³. The value obtained for the raw formation energy is 1.098 eV per atom.

---

3.
Below is crystalline BaAcBi at its relaxed geometry, with properties calculated at the PBE level.

The space group is I4mm (No. 107) and the conventional cell measures 4.347, 4.347 and 14.760 Å, with angles of 90.00, 90.00 and 90.00 degrees. The distinct sites, in fractional coordinates, are Ba at (0.000, 0.000, 0.000), Ac at (0.000, 0.000, 0.260) and Bi at (0.000, 0.000, 0.651).

For the volume, the calculation gives 278.98 Å³/cell. The magnetization is 0.00 μB/f.u. The relative energy among the computed polymorphs is 0 meV/atom. For the density, the calculation gives 6.82 g cm⁻³. The energy of formation is -1.5 eV per formula unit.

---

4.
Below is crystalline CuNi2HgPt at its relaxed geometry, with properties calculated at the PBE level.

The space group is P4/mmm (No. 123) and the conventional cell measures 4.333, 4.333 and 4.635 Å, with angles of 90.00, 90.00 and 90.00 degrees. The distinct sites, in fractional coordinates, are Cu at (0.000, 0.000, 0.000), Ni at (0.000, 0.500, 0.000), Hg at (0.500, 0.500, 0.500) and Pt at (0.000, 0.000, 0.500).

For the volume, the calculation gives 87.03 Å³/cell. The magnetization is 0.87 μB/f.u. For the density, the calculation gives 11.00 g cm⁻³. The energy of formation is 4.1 eV per formula unit.

---

5.
Below is crystalline AcCe2NdN4 at its relaxed geometry, with properties calculated at the PBE level.

The space group is P2/m (No. 10) and the conventional cell measures 6.344, 3.656 and 6.368 Å, with angles of 90.00, 109.37 and 90.00 degrees. The distinct sites, in fractional coordinates, are Ac at (0.000, 0.000, 0.000), Ce at (0.000, 0.500, 0.500), Ce at (0.500, 0.000, 0.500), Nd at (0.500, 0.500, 0.000), N at (0.249, 0.000, 0.728) and N at (0.267, 0.500, 0.281).

For the volume, the calculation gives 139.33 Å³/cell. The magnetization is 0.29 μB/f.u. For the density, the calculation gives 8.43 g cm⁻³. The value obtained for the raw formation energy is -1.348 eV per atom.

---

6.
Below is crystalline Cu2AsRh at its relaxed geometry, with properties calculated at the PBE level.

The space group is Pmmm (No. 47) and the conventional cell measures 3.659, 3.675 and 4.044 Å, with angles of 90.00, 90.00 and 90.00 degrees. The distinct sites, in fractional coordinates, are Cu at (0.000, 0.000, 0.000), Cu at (0.500, 0.500, 0.000), As at (0.000, 0.500, 0.500) and Rh at (0.500, 0.000, 0.500).

For the volume, the calculation gives 54.39 Å³/cell. The magnetization is 0.00 μB/f.u. For the density, the calculation gives 9.31 g cm⁻³. The energy of formation is -0.1 eV per formula unit.

---

7.
Below is crystalline Zn2Ni6Ir at its relaxed geometry, with properties calculated at the PBE level.

The space group is C2/m (No. 12) and the conventional cell measures 8.381, 2.585 and 10.076 Å, with angles of 90.00, 94.97 and 90.00 degrees. The distinct sites, in fractional coordinates, are Zn at (0.146, 0.000, 0.176), Ni at (0.069, 0.500, 0.718), Ni at (0.138, 0.000, 0.932), Ni at (0.216, 0.500, 0.391) and Ir at (0.000, 0.000, 0.500).

For the volume, the calculation gives 217.45 Å³/cell. The magnetization is 0.00 μB/f.u. The relative energy among the computed polymorphs is 0 meV/atom. For the density, the calculation gives 10.31 g cm⁻³. The energy of formation is -0.5 eV per formula unit.

---

8.
Below is crystalline AlTlCd at its relaxed geometry, with properties calculated at the PBE level.

The space group is P1 (No. 1) and the conventional cell measures 5.521, 5.792 and 5.811 Å, with angles of 75.25, 62.41 and 62.56 degrees. The distinct sites, in fractional coordinates, are Al at (0.000, 0.000, 0.000), Al at (0.500, 0.002, 0.998), Tl at (0.106, 0.526, 0.760), Tl at (0.894, 0.240, 0.474), Cd at (0.433, 0.502, 0.137) and Cd at (0.566, 0.864, 0.498).

For the volume, the calculation gives 145.93 Å³/cell. The magnetization is 0.00 μB/f.u. For the density, the calculation gives 7.82 g cm⁻³. The energy of formation is 0.4 eV per formula unit.

---

9.
Below is crystalline Ca2TaOs at its relaxed geometry, with properties calculated at the PBE level.

The space group is P4/mmm (No. 123) and the conventional cell measures 3.926, 3.926 and 5.707 Å, with angles of 90.00, 90.00 and 90.00 degrees. The distinct sites, in fractional coordinates, are Ca at (0.000, 0.000, 0.234), Ta at (0.500, 0.500, 0.500) and Os at (0.500, 0.500, 0.000).

For the volume, the calculation gives 87.97 Å³/cell. The magnetization is 0.88 μB/f.u. The relative energy among the computed polymorphs is 827 meV/atom. For the density, the calculation gives 8.52 g cm⁻³. The energy of formation is 3.9 eV per formula unit.

---

10.
Below is crystalline FeHgSb2 at its relaxed geometry, with properties calculated at the PBE level.

The space group is R3m (No. 160, hexagonal axes) and the conventional cell measures 3.3926, 3.3926 and 27.3417 Å, with angles of 90.00, 90.00 and 120.00 degrees. The distinct sites, in fractional coordinates, are Fe at (0.0000, 0.0000, 0.0000), Hg at (0.0000, 0.0000, 0.7391), Sb at (0.0000, 0.0000, 0.2715) and Sb at (0.0000, 0.0000, 0.5043).

For the volume, the calculation gives 272.53 Å³/cell. The magnetization is 2.08 μB/f.u. For the density, the calculation gives 9.14 g cm⁻³. The value obtained for the raw formation energy is 0.348 eV per atom.

---

11.
Below is crystalline MnSn2Bi2 at its relaxed geometry, with properties calculated at the PBE level.

The space group is P4/mbm (No. 127) and the conventional cell measures 6.950, 6.950 and 5.351 Å, with angles of 90.00, 90.00 and 90.00 degrees. The distinct sites, in fractional coordinates, are Mn at (0.000, 0.000, 0.000), Sn at (0.158, 0.342, 0.000) and Bi at (0.169, 0.669, 0.500).

For the volume, the calculation gives 258.50 Å³/cell. The magnetization is 0.01 μB/f.u. For the density, the calculation gives 9.13 g cm⁻³. The energy of formation is 2.6 eV per formula unit.

---

12.
Below is crystalline TmTh2ScBi5 at its relaxed geometry, with properties calculated at the PBE level.

The space group is P4/mmm (No. 123) and the conventional cell measures 5.410, 5.410 and 11.378 Å, with angles of 90.00, 90.00 and 90.00 degrees. The distinct sites, in fractional coordinates, are Tm at (0.000, 0.000, 0.000), Th at (0.500, 0.500, 0.203), Sc at (0.000, 0.000, 0.500), Bi at (0.000, 0.000, 0.259), Bi at (0.000, 0.500, 0.000) and Bi at (0.500, 0.500, 0.500).

For the volume, the calculation gives 332.98 Å³/cell. The magnetization is 0.00 μB/f.u. For the density, the calculation gives 8.59 g cm⁻³. The energy of formation is 0.5 eV per formula unit.